Material: KCu2Pb
Method: DFT, GGA-PBE
State: optimized geometry

Cell and atoms, written as POSCAR:
```
KCu2Pb
1.0
6.1577 -0.0426 -0.0270
2.8731 5.4465 0.0270
-3.6958 -4.0716 2.7717
Pb Cu K
1 2 1
direct
0.2075 0.7075 0.5000 Pb
0.9808 0.9808 0.0000 Cu
0.8060 0.3060 0.5000 Cu
0.5057 0.5057 0.0000 K
```

Calculated values
Crystal system: orthorhombic
SG: Imm2, No. 44
Formation energy from the elements: 311.6 meV/atom
Uncorrected energy: -2.94 eV per atom
Calculated volume: 23.437 Å³ per atom

Material: K2CuPb
Method: DFT, GGA-PBE
State: optimized geometry

Cell and atoms, written as POSCAR:
```
K2CuPb
1.0
6.5575 0.0031 0.0000
3.0873 5.7852 0.0000
-4.8224 -2.8942 3.3717
K Cu Pb
2 1 1
direct
0.0000 0.0000 0.0000 K
0.5000 0.5000 0.0000 K
0.7500 0.2500 0.5000 Cu
0.2500 0.7500 0.5000 Pb
```

Calculated values
Crystal system: tetragonal
SG: I4/mmm, No. 139
Formation energy from the elements: 277.9 meV/atom
Uncorrected energy: -2.22 eV per atom
Calculated volume: 31.970 Å³ per atom

Material: K2CuPb
Method: DFT, GGA-PBE
State: optimized geometry

Cell and atoms, written as POSCAR:
```
K2CuPb
1.0
3.6748 0.0000 0.0000
0.0000 3.6748 0.0000
0.0000 0.0000 9.9652
Pb K Cu
1 2 1
direct
0.5000 0.5000 0.2500 Pb
0.0000 0.0000 0.5341 K
0.0000 0.0000 0.9659 K
0.5000 0.5000 0.7500 Cu
```

Calculated values
Crystal system: tetragonal
SG: P4/mmm, No. 123
Formation energy from the elements: 231.4 meV/atom
Uncorrected energy: -2.27 eV per atom
Calculated volume: 33.643 Å³ per atom

Material: KCu4Pb
Method: DFT, GGA-PBE
State: optimized geometry

Cell and atoms, written as POSCAR:
```
KCu4Pb
1.0
0.0000 3.7538 3.7538
3.7538 0.0000 3.7538
3.7538 3.7538 0.0000
Cu Pb K
4 1 1
direct
0.3738 0.8786 0.3738 Cu
0.3738 0.3738 0.3738 Cu
0.3738 0.3738 0.8786 Cu
0.8786 0.3738 0.3738 Cu
0.0000 0.0000 0.0000 Pb
0.7500 0.7500 0.7500 K
```

Calculated values
Crystal system: cubic
SG: F-43m, No. 216
Formation energy from the elements: 246.0 meV/atom
Uncorrected energy: -3.29 eV per atom
Calculated volume: 17.632 Å³ per atom

Material: KCu2Pb2
Method: DFT, GGA-PBE
State: optimized geometry

Cell and atoms, written as POSCAR:
```
KCu2Pb2
1.0
4.8716 0.0000 0.0000
0.0000 4.8716 0.0000
2.4358 2.4358 5.4867
Cu K Pb
2 1 2
direct
0.3844 0.3844 0.2313 Cu
0.6156 0.6156 0.7687 Cu
0.0000 0.0000 0.0000 K
0.7500 0.2500 0.5000 Pb
0.2500 0.7500 0.5000 Pb
```

Calculated values
Crystal system: tetragonal
SG: I4/mmm, No. 139
ΔE to the lowest computed polymorph: 0.038 eV per atom
Formation energy from the elements: 147.4 meV/atom
Uncorrected energy: -3.19 eV per atom
Calculated volume: 26.043 Å³ per atom

Material: K2RbCuPb
Method: DFT, GGA-PBE
State: optimized geometry

Cell and atoms, written as POSCAR:
```
K2RbCuPb
1.0
6.5475 0.0000 0.0000
0.0000 6.5475 0.0000
0.0000 0.0000 5.1265
Cu K Pb Rb
1 2 1 1
direct
0.0000 0.0000 0.0000 Cu
0.5000 0.0000 0.0000 K
0.0000 0.5000 0.0000 K
0.0000 0.0000 0.5000 Pb
0.5000 0.5000 0.5000 Rb
```

Calculated values
Crystal system: tetragonal
SG: P4/mmm, No. 123
Formation energy from the elements: 84.3 meV/atom
Uncorrected energy: -2.11 eV per atom
Calculated volume: 43.955 Å³ per atom

Material: KCuRePb2
Method: DFT, GGA-PBE
State: optimized geometry

Cell and atoms, written as POSCAR:
```
KCuRePb2
1.0
-0.7315 -5.7177 -0.5762
3.0353 -0.0033 -3.8204
4.4764 -0.9311 3.5573
K Cu Pb Re
1 1 2 1
direct
0.0000 0.0000 0.0000 K
0.5000 0.5000 0.5000 Cu
0.0000 0.0000 0.5000 Pb
0.5000 0.0000 0.0000 Pb
0.0000 0.5000 0.0000 Re
```

Calculated values
Crystal system: tetragonal
SG: P4/mmm, No. 123
Formation energy from the elements: 2429.9 meV/atom
Uncorrected energy: -2.58 eV per atom
Calculated volume: 32.750 Å³ per atom

Material: KCuPbS2
Method: DFT, GGA-PBE
State: optimized geometry

Cell and atoms, written as POSCAR:
```
KCuPbS2
1.0
5.0688 0.0000 0.0000
0.0000 7.8668 0.0000
0.0000 -3.9334 7.5612
Cu K S Pb
2 2 4 2
direct
0.0000 0.5000 0.0000 Cu
0.0000 0.0000 0.0000 Cu
0.7487 0.2500 0.5000 K
0.2513 0.7500 0.5000 K
0.7602 0.8831 0.7662 S
0.7602 0.6169 0.2338 S
0.2398 0.3831 0.7662 S
0.2398 0.1169 0.2338 S
0.5000 0.7500 0.0000 Pb
0.5000 0.2500 0.0000 Pb
```

Calculated values
Crystal system: orthorhombic
SG: Cmme, No. 67
Uncorrected energy: -4.00 eV per atom
E_form (uncorrected): -2.9 eV per formula unit
Calculated volume: 30.150 Å³ per atom

Material: KCu3PbSe4
Method: DFT, GGA-PBE
State: optimized geometry

Cell and atoms, written as POSCAR:
```
KCu3PbSe4
1.0
-4.4048 -4.0775 2.1714
4.4709 -4.5179 0.5858
1.1627 1.9252 5.9737
Cu Se Pb K
3 4 1 1
direct
0.0000 0.0000 0.5000 Cu
0.0000 0.5000 0.0000 Cu
0.5000 0.0000 0.0000 Cu
0.2321 0.2321 0.2321 Se
0.2321 0.7679 0.7679 Se
0.7679 0.7679 0.2321 Se
0.7679 0.2321 0.7679 Se
0.0000 0.0000 0.0000 Pb
0.5000 0.5000 0.5000 K
```

Calculated values
Crystal system: cubic
SG: P-43m, No. 215
Uncorrected energy: -3.50 eV per atom
E_form (uncorrected): -0.4 eV per formula unit
Calculated volume: 28.896 Å³ per atom

Material: KSr2CuPb
Method: DFT, GGA-PBE
State: optimized geometry

Cell and atoms, written as POSCAR:
```
KSr2CuPb
1.0
-2.8259 5.9048 -0.7854
-4.6624 -2.1824 0.3679
0.0888 0.9109 6.5293
Cu Pb K Sr
1 1 1 2
direct
0.0000 0.5000 0.0000 Cu
0.0000 0.0000 0.0000 Pb
0.5000 0.5000 0.5000 K
0.5000 0.0000 0.0000 Sr
0.0000 0.0000 0.5000 Sr
```

Calculated values
Crystal system: tetragonal
SG: P4/mmm, No. 123
Formation energy from the elements: 129.1 meV/atom
Uncorrected energy: -2.32 eV per atom
Calculated volume: 44.869 Å³ per atom

Material: KTl2CuPb
Method: DFT, GGA-PBE
State: optimized geometry

Cell and atoms, written as POSCAR:
```
KTl2CuPb
1.0
-4.1932 -1.8386 -2.8923
3.4241 -2.0535 -3.6588
0.1450 -4.6445 2.7424
K Cu Tl Pb
1 1 2 1
direct
0.5000 0.5000 0.5000 K
0.0000 0.0000 0.0000 Cu
0.0000 0.5000 0.0000 Tl
0.5000 0.0000 0.0000 Tl
0.0000 0.0000 0.5000 Pb
```

Calculated values
Crystal system: tetragonal
SG: P4/mmm, No. 123
Formation energy from the elements: 91.3 meV/atom
Uncorrected energy: -2.64 eV per atom
Calculated volume: 31.649 Å³ per atom

Material: KZr2CuPb
Method: DFT, GGA-PBE
State: optimized geometry

Cell and atoms, written as POSCAR:
```
KZr2CuPb
1.0
-2.0416 -4.2532 1.9033
2.3947 0.9506 4.6930
-4.0662 2.6410 1.5400
Zr Cu Pb K
2 1 1 1
direct
0.5000 0.0000 0.0000 Zr
0.0000 0.0000 0.5000 Zr
0.0000 0.0000 0.0000 Cu
0.5000 0.5000 0.5000 Pb
0.0000 0.5000 0.0000 K
```

Calculated values
Crystal system: tetragonal
SG: P4/mmm, No. 123
Formation energy from the elements: 674.0 meV/atom
Uncorrected energy: -4.53 eV per atom
Calculated volume: 27.712 Å³ per atom

Q: Look up the calculated volume of the twelfth one.
A: 27.712 Å³ per atom

Q: Number 6 is which compound?
A: K2RbCuPb

Q: The highest uncorrected energy belongs to which entry?
A: K2RbCuPb

Q: Which value of uncorrected energy does entry 1 give?
A: -2.94 eV per atom